(1)
Here is a relaxed structure of Ac2Al4Zn3Ga from Alexandria. Energies are from PBE.

Calculated values
- E (eV for the cell shown) = -34.1
- ΔH_f (0 K) (eV/atom) = -0.41
- total magnetic moment (μB per atom) = 0.000

```
Ac2Al4Zn3Ga
1.0
4.472 0.000 0.000
0.000 4.472 0.000
0.000 0.000 10.745
Ac Al Zn Ga
2 4 3 1
Cartesian
0.000 2.236 2.663
2.236 0.000 8.082
0.000 0.000 5.373
0.000 2.236 9.347
2.236 0.000 1.398
2.236 2.236 5.373
0.000 0.000 0.000
0.000 2.236 6.785
2.236 0.000 3.961
2.236 2.236 0.000
```

=====

(2)
Here is a relaxed structure of Ac2Al4ZnGa3 from Alexandria. Energies are from PBE.

Calculated values
- E (eV for the cell shown) = -37.8
- ΔH_f (0 K) (eV/atom) = -0.42
- total magnetic moment (μB per atom) = 0.000

```
Ac2Al4ZnGa3
1.0
4.493 0.000 0.000
0.000 4.493 0.000
0.000 0.000 10.774
Ac Al Zn Ga
2 4 1 3
Cartesian
0.000 2.247 2.628
2.247 0.000 8.147
0.000 0.000 5.387
0.000 2.247 9.429
2.247 0.000 1.346
2.247 2.247 5.387
2.247 2.247 0.000
0.000 0.000 0.000
0.000 2.247 6.830
2.247 0.000 3.945
```

=====

(3)
Here is a relaxed structure of Ac3AlZn6Ga2 from Alexandria. Energies are from PBE.

Calculated values
- E (eV for the cell shown) = -32.1
- ΔH_f (0 K) (eV/atom) = -0.20
- total magnetic moment (μB per atom) = 0.000

```
Ac3AlZn6Ga2
1.0
6.416 0.000 0.000
-3.208 5.556 0.000
0.000 0.000 8.218
Ac Al Zn Ga
3 1 6 2
Cartesian
0.000 0.000 0.000
0.000 3.704 5.912
3.208 1.852 2.307
0.000 0.000 4.109
0.000 2.177 2.927
-1.323 4.468 2.927
1.885 1.088 5.291
1.323 4.468 2.927
4.531 1.088 5.291
3.208 3.379 5.291
0.000 3.704 0.850
3.208 1.852 7.368
```

=====

(4)
Here is a relaxed structure of Ac2Al3Zn4Ga from Alexandria. Energies are from PBE.

Calculated values
- E (eV for the cell shown) = -31.5
- ΔH_f (0 K) (eV/atom) = -0.40
- total magnetic moment (μB per atom) = 0.000

```
Ac2Al3Zn4Ga
1.0
4.442 0.000 0.000
0.000 4.442 0.000
0.000 0.000 10.829
Ac Al Zn Ga
2 3 4 1
Cartesian
0.000 2.221 2.692
2.221 0.000 8.137
0.000 2.221 9.438
2.221 0.000 1.391
2.221 2.221 5.414
0.000 0.000 0.000
0.000 2.221 6.861
2.221 0.000 3.968
2.221 2.221 0.000
0.000 0.000 5.414
```

=====

(5)
Here is a relaxed structure of AcAlZn6Ga from Alexandria. Energies are from PBE.

Calculated values
- E (eV for the cell shown) = -39.7
- ΔH_f (0 K) (eV/atom) = -0.15
- total magnetic moment (μB per atom) = 0.000

```
AcAlZn6Ga
1.0
-2.830 4.252 7.215
2.830 -4.252 7.215
2.830 4.252 -7.215
Ac Al Zn Ga
2 2 12 2
Cartesian
0.000 2.126 0.202
2.830 2.126 7.014
2.830 0.000 0.000
0.000 0.000 7.215
2.830 2.126 -3.513
1.345 -0.237 2.247
4.315 -0.237 2.247
1.345 4.015 -2.247
1.485 -0.237 4.969
2.830 2.126 1.523
0.000 2.126 5.692
1.345 4.489 2.247
1.485 0.237 9.462
-1.485 4.489 4.969
1.485 4.489 4.969
0.000 2.126 10.728
-1.415 2.126 3.608
1.415 2.126 3.608
```

=====

(6)
Here is a relaxed structure of Ac2GdAl from Alexandria. Energies are from PBE.

Calculated values
- E (eV for the cell shown) = -103.9
- ΔH_f (0 K) (eV/atom) = 0.02
- total magnetic moment (μB per atom) = 1.901
- energy above the lowest structure with this stoichiometry (meV/atom) = 77

```
Ac2GdAl
1.0
8.156 0.000 0.000
0.000 8.156 0.000
0.000 0.000 8.156
Ac Gd Al
8 4 4
Cartesian
2.039 2.039 2.039
2.039 2.039 6.117
2.039 6.117 2.039
2.039 6.117 6.117
6.117 2.039 2.039
6.117 2.039 6.117
6.117 6.117 2.039
6.117 6.117 6.117
0.000 0.000 0.000
0.000 4.078 4.078
4.078 0.000 4.078
4.078 4.078 0.000
0.000 0.000 4.078
0.000 4.078 0.000
4.078 0.000 0.000
4.078 4.078 4.078
```

=====

(7)
Here is a relaxed structure of AcGdAl from Alexandria. Energies are from PBE.

Calculated values
- E (eV for the cell shown) = -44.8
- ΔH_f (0 K) (eV/atom) = -0.16
- total magnetic moment (μB per atom) = 2.592
- energy above the lowest structure with this stoichiometry (meV/atom) = 0

```
AcGdAl
1.0
3.848 0.000 0.000
0.000 3.848 0.000
0.000 0.000 12.707
Ac Gd Al
2 2 2
Cartesian
0.000 0.000 0.000
1.924 1.924 6.353
0.000 0.000 9.049
1.924 1.924 2.695
0.000 0.000 4.282
1.924 1.924 10.635
```

=====

(8)
Here is a relaxed structure of Ac2GdAl from Alexandria. Energies are from PBE.

Calculated values
- E (eV for the cell shown) = -26.3
- ΔH_f (0 K) (eV/atom) = -0.06
- total magnetic moment (μB per atom) = 1.937
- energy above the lowest structure with this stoichiometry (meV/atom) = 0

```
Ac2GdAl
1.0
3.968 0.000 0.000
0.000 3.968 0.000
0.000 0.000 8.910
Ac Gd Al
2 1 1
Cartesian
0.000 0.000 1.897
0.000 0.000 7.013
1.984 1.984 4.455
1.984 1.984 0.000
```

=====

(9)
Here is a relaxed structure of Ac2GdAl from Alexandria. Energies are from PBE.

Calculated values
- E (eV for the cell shown) = -75.4
- ΔH_f (0 K) (eV/atom) = 0.23
- total magnetic moment (μB per atom) = 2.005
- energy above the lowest structure with this stoichiometry (meV/atom) = 287

```
Ac2GdAl
1.0
3.761 0.000 0.000
-1.881 3.258 0.000
0.000 0.000 36.673
Ac Gd Al
6 3 3
Cartesian
0.000 0.000 3.644
0.000 0.000 33.029
0.000 2.172 20.804
0.000 2.172 28.093
1.881 1.086 8.580
1.881 1.086 15.868
0.000 0.000 0.000
0.000 2.172 24.449
1.881 1.086 12.224
0.000 0.000 18.336
0.000 2.172 6.112
1.881 1.086 30.561
```

=====

(10)
Here is a relaxed structure of Ac2GdAl from Alexandria. Energies are from PBE.

Calculated values
- E (eV for the cell shown) = -26.3
- ΔH_f (0 K) (eV/atom) = -0.06
- total magnetic moment (μB per atom) = 1.987
- energy above the lowest structure with this stoichiometry (meV/atom) = 7

```
Ac2GdAl
1.0
5.212 0.000 0.000
0.000 5.212 0.000
0.000 0.000 4.969
Ac Gd Al
2 1 1
Cartesian
0.000 2.606 0.000
2.606 0.000 0.000
0.000 0.000 2.484
2.606 2.606 2.484
```

=====

(11)
Here is a relaxed structure of AcGdAl from Alexandria. Energies are from PBE.

Calculated values
- E (eV for the cell shown) = -22.2
- ΔH_f (0 K) (eV/atom) = -0.08
- total magnetic moment (μB per atom) = 2.455
- energy above the lowest structure with this stoichiometry (meV/atom) = 79

```
AcGdAl
1.0
5.259 0.000 0.000
-2.630 4.555 0.000
0.000 0.000 3.943
Ac Gd Al
1 1 1
Cartesian
0.000 0.000 0.000
0.000 3.037 1.786
2.630 1.518 2.328
```

=====

(12)
Here is a relaxed structure of AcGdAlGe from Alexandria. Energies are from PBE.

Calculated values
- E (eV for the cell shown) = -112.3
- ΔH_f (0 K) (eV/atom) = -0.38
- total magnetic moment (μB per atom) = 1.787

```
AcGdAlGe
1.0
7.573 0.000 0.000
0.000 7.573 0.000
0.000 0.000 7.573
Ac Gd Al Ge
4 4 4 4
Cartesian
0.000 0.000 0.000
0.000 3.787 3.787
3.787 0.000 3.787
3.787 3.787 0.000
0.000 0.000 3.787
0.000 3.787 0.000
3.787 0.000 0.000
3.787 3.787 3.787
1.893 1.893 5.680
1.893 5.680 1.893
5.680 1.893 1.893
5.680 5.680 5.680
1.893 1.893 1.893
1.893 5.680 5.680
5.680 1.893 5.680
5.680 5.680 1.893
```

=====

(13)
Here is a relaxed structure of AcGdAlHg from Alexandria. Energies are from PBE.

Calculated values
- E (eV for the cell shown) = -94.4
- ΔH_f (0 K) (eV/atom) = -0.34
- total magnetic moment (μB per atom) = 1.984

```
AcGdAlHg
1.0
7.757 0.000 0.000
0.000 7.757 0.000
0.000 0.000 7.757
Ac Gd Al Hg
4 4 4 4
Cartesian
0.000 0.000 0.000
0.000 3.879 3.879
3.879 0.000 3.879
3.879 3.879 0.000
0.000 0.000 3.879
0.000 3.879 0.000
3.879 0.000 0.000
3.879 3.879 3.879
1.939 1.939 5.818
1.939 5.818 1.939
5.818 1.939 1.939
5.818 5.818 5.818
1.939 1.939 1.939
1.939 5.818 5.818
5.818 1.939 5.818
5.818 5.818 1.939
```